[1]
GGA-PBE TaBeRh2, relaxed; energy relative to the elements = 0.32 eV per formula unit; SG = Immm
1.0
-1.381 2.104 4.877
1.381 -2.104 4.877
1.381 2.104 -4.877
Ta Be Rh
1 1 2
direct
0.000 0.000 0.000
0.500 0.500 0.000
0.296 0.296 0.000
0.704 0.704 0.000



[2]
GGA-PBE Ta2BeRh, relaxed; energy relative to the elements = -0.62 eV per formula unit; SG = Imm2
1.0
-1.434 2.301 4.550
1.434 -2.301 4.550
1.434 2.301 -4.550
Ta Be Rh
2 1 1
direct
0.000 0.000 0.000
0.729 0.229 0.500
0.468 0.468 0.000
0.264 0.764 0.500



[3]
GGA-PBE Ta2BeRh, relaxed; energy relative to the elements = -0.34 eV per formula unit; SG = P4/mmm
1.0
3.275 0.000 0.000
0.000 3.275 0.000
0.000 0.000 5.626
Ta Be Rh
2 1 1
direct
0.000 0.000 0.240
0.000 0.000 0.760
0.500 0.500 0.000
0.500 0.500 0.500



[4]
GGA-PBE TaBeRh2, relaxed; energy relative to the elements = -2.26 eV per formula unit; SG = Cmcm
1.0
1.489 -4.996 0.000
1.489 4.996 0.000
0.000 0.000 7.217
Ta Be Rh
2 2 4
direct
0.050 0.950 0.750
0.950 0.050 0.250
0.236 0.764 0.250
0.764 0.236 0.750
0.366 0.634 0.547
0.366 0.634 0.953
0.634 0.366 0.047
0.634 0.366 0.453



[5]
GGA-PBE Ta2BeRh, relaxed; energy relative to the elements = -0.42 eV per formula unit; SG = I-4m2
1.0
-1.850 1.850 4.433
1.850 -1.850 4.433
1.850 1.850 -4.433
Ta Be Rh
2 1 1
direct
0.000 0.000 0.000
0.750 0.250 0.500
0.250 0.750 0.500
0.500 0.500 0.000



[6]
GGA-PBE TaBe2Rh, relaxed; excess energy over the best structure of this formula in the dataset = 123 meV/atom; energy relative to the elements = -0.95 eV per formula unit; SG = I-4m2
1.0
-2.079 2.079 2.953
2.079 -2.079 2.953
2.079 2.079 -2.953
Ta Be Rh
1 2 1
direct
0.000 0.000 0.000
0.250 0.750 0.500
0.500 0.500 0.000
0.750 0.250 0.500



Raw total energy, record by record: -0.2752 -0.3253 -0.3227 -0.2990 -0.3234 -0.2536 Ha/atom